# 1
Computed, not measured: a relaxed structure of AcHfPa at the PBE-GGA level of DFT.

Cell and atoms, written as CIF:
```
data_AcHfPa
_symmetry_space_group_name_H-M 'F -4 3 m'
_symmetry_Int_Tables_number 216
_symmetry_space_group_name_Hall 'F -4 2 3'
_cell_length_a 7.355
_cell_length_b 7.355
_cell_length_c 7.355
_cell_angle_alpha 90.00
_cell_angle_beta 90.00
_cell_angle_gamma 90.00
loop_
_atom_site_label
_atom_site_type_symbol
_atom_site_fract_x
_atom_site_fract_y
_atom_site_fract_z
Ac1 Ac 0.000 0.000 0.000
Hf1 Hf 0.250 0.250 0.250
Pa1 Pa 0.000 0.000 0.500
```

E_form: 0.98 eV/atom
Energy relative to the lowest polymorph listed for this composition: 0.0 meV/atom
Raw total energy: -6.88 eV/atom

=====

# 2
Computed, not measured: a relaxed structure of UAgOs at the PBE-GGA level of DFT.

Cell and atoms, written as CIF:
```
data_UAgOs
_symmetry_space_group_name_H-M 'F -4 3 m'
_symmetry_Int_Tables_number 216
_symmetry_space_group_name_Hall 'F -4 2 3'
_cell_length_a 6.482
_cell_length_b 6.482
_cell_length_c 6.482
_cell_angle_alpha 90.00
_cell_angle_beta 90.00
_cell_angle_gamma 90.00
loop_
_atom_site_label
_atom_site_type_symbol
_atom_site_fract_x
_atom_site_fract_y
_atom_site_fract_z
U1 U 0.000 0.000 0.000
Ag1 Ag 0.250 0.250 0.750
Os1 Os 0.250 0.250 0.250
```

E_form: 0.93 eV/atom
Energy relative to the lowest polymorph listed for this composition: 301.0 meV/atom
Raw total energy: -7.52 eV/atom

=====

# 3
Computed, not measured: a relaxed structure of TbPuPd6 at the PBE-GGA level of DFT.

Cell and atoms, written as CIF:
```
data_TbPuPd6
_symmetry_space_group_name_H-M 'P 4/m m m'
_symmetry_Int_Tables_number 123
_symmetry_space_group_name_Hall '-P 4 2'
_cell_length_a 4.112
_cell_length_b 4.112
_cell_length_c 8.243
_cell_angle_alpha 90.00
_cell_angle_beta 90.00
_cell_angle_gamma 90.00
loop_
_atom_site_label
_atom_site_type_symbol
_atom_site_fract_x
_atom_site_fract_y
_atom_site_fract_z
Tb1 Tb 0.000 0.000 0.000
Pu1 Pu 0.000 0.000 0.500
Pd1 Pd 0.000 0.500 0.254
Pd2 Pd 0.500 0.500 0.000
Pd3 Pd 0.500 0.500 0.500
```

E_form: -0.76 eV/atom
Raw total energy: -6.98 eV/atom

=====

# 4
Computed, not measured: a relaxed structure of Hf3Ag4Sn4 at the PBE-GGA level of DFT.

Cell and atoms, written as CIF:
```
data_Hf3Ag4Sn4
_symmetry_space_group_name_H-M 'I -4 2 m'
_symmetry_Int_Tables_number 121
_symmetry_space_group_name_Hall 'I -4 2'
_cell_length_a 6.411
_cell_length_b 6.411
_cell_length_c 12.836
_cell_angle_alpha 90.00
_cell_angle_beta 90.00
_cell_angle_gamma 90.00
loop_
_atom_site_label
_atom_site_type_symbol
_atom_site_fract_x
_atom_site_fract_y
_atom_site_fract_z
Hf1 Hf 0.000 0.000 0.000
Hf2 Hf 0.000 0.500 0.250
Ag1 Ag 0.245 0.245 0.622
Sn1 Sn 0.000 0.000 0.251
Sn2 Sn 0.000 0.500 0.000
```

Energy relative to the lowest polymorph listed for this composition: 51.7 meV/atom
Raw total energy: -5.21 eV/atom